[1]
A geometry-optimized CrSbS3 structure. Source: Alexandria via LeMat-Bulk, functional PBE.

D(E_F): 1.9 states/eV/f.u.
E: -5.465 eV/atom
volume: 244 Å³/cell

The structure in CIF format:
```
data_CrSbS3
_symmetry_space_group_name_H-M 'A m m 2'
_symmetry_Int_Tables_number 38
_cell_length_a 3.570
_cell_length_b 8.280
_cell_length_c 8.260
_cell_angle_alpha 90.00
_cell_angle_beta 90.00
_cell_angle_gamma 90.00
loop_
_symmetry_equiv_pos_as_xyz
'x,y,z'
'-x,-y,z'
'-x,y,z'
'x,-y,z'
'x,y+1/2,z+1/2'
'-x,-y+1/2,z+1/2'
'-x,y+1/2,z+1/2'
'x,-y+1/2,z+1/2'
loop_
_atom_site_label
_atom_site_fract_x
_atom_site_fract_y
_atom_site_fract_z
Cr1 0.000 0.000 0.000
Sb1 0.500 0.000 0.508
S1 0.000 0.000 0.718
S2 0.500 0.176 0.054
```



[2]
A geometry-optimized CrSb3S structure. Source: Alexandria via LeMat-Bulk, functional PBE.

D(E_F): 3.3 states/eV/f.u.
E: -4.464 eV/atom
volume: 138 Å³/cell

The structure in CIF format:
```
data_CrSb3S
_symmetry_space_group_name_H-M 'P m -3 m'
_symmetry_Int_Tables_number 221
_symmetry_space_group_name_Hall '-P 4 2 3'
_cell_length_a 5.173
_cell_length_b 5.173
_cell_length_c 5.173
_cell_angle_alpha 90.00
_cell_angle_beta 90.00
_cell_angle_gamma 90.00
loop_
_atom_site_label
_atom_site_fract_x
_atom_site_fract_y
_atom_site_fract_z
Cr1 0.000 0.000 0.000
Sb1 0.000 0.500 0.500
S1 0.500 0.500 0.500
```



[3]
A geometry-optimized Cr3SbS structure. Source: Alexandria via LeMat-Bulk, functional PBE.

D(E_F): 2.9 states/eV/f.u.
E: -7.115 eV/atom
volume: 76 Å³/cell

The structure in CIF format:
```
data_Cr3SbS
_symmetry_space_group_name_H-M 'P m -3 m'
_symmetry_Int_Tables_number 221
_symmetry_space_group_name_Hall '-P 4 2 3'
_cell_length_a 4.228
_cell_length_b 4.228
_cell_length_c 4.228
_cell_angle_alpha 90.00
_cell_angle_beta 90.00
_cell_angle_gamma 90.00
loop_
_atom_site_label
_atom_site_fract_x
_atom_site_fract_y
_atom_site_fract_z
Cr1 0.000 0.000 0.500
Sb1 0.500 0.500 0.500
S1 0.000 0.000 0.000
```



[4]
A geometry-optimized Cr3SbS structure. Source: Alexandria via LeMat-Bulk, functional PBE.

D(E_F): 3.5 states/eV/f.u.
E: -6.284 eV/atom
volume: 135 Å³/cell

The structure in CIF format:
```
data_Cr3SbS
_symmetry_space_group_name_H-M 'P m -3 m'
_symmetry_Int_Tables_number 221
_symmetry_space_group_name_Hall '-P 4 2 3'
_cell_length_a 5.126
_cell_length_b 5.126
_cell_length_c 5.126
_cell_angle_alpha 90.00
_cell_angle_beta 90.00
_cell_angle_gamma 90.00
loop_
_atom_site_label
_atom_site_fract_x
_atom_site_fract_y
_atom_site_fract_z
Cr1 0.000 0.000 0.500
Sb1 0.000 0.000 0.000
S1 0.500 0.500 0.500
```



[5]
A geometry-optimized CrSbS3 structure. Source: Alexandria via LeMat-Bulk, functional PBE.

E: -5.711 eV/atom
volume: 416 Å³/cell

The structure in CIF format:
```
data_CrSbS3
_symmetry_space_group_name_H-M 'P n m a'
_symmetry_Int_Tables_number 62
_cell_length_a 8.869
_cell_length_b 3.662
_cell_length_c 12.822
_cell_angle_alpha 90.00
_cell_angle_beta 90.00
_cell_angle_gamma 90.00
loop_
_symmetry_equiv_pos_as_xyz
'x,y,z'
'-x,-y,-z'
'-x+1/2,-y,z+1/2'
'x+1/2,y,-z+1/2'
'x+1/2,-y+1/2,-z+1/2'
'-x+1/2,y+1/2,z+1/2'
'-x,y+1/2,-z'
'x,-y+1/2,z'
loop_
_atom_site_label
_atom_site_fract_x
_atom_site_fract_y
_atom_site_fract_z
Cr1 0.157 0.250 0.044
Sb1 0.025 0.250 0.660
S1 0.003 0.750 0.105
S2 0.173 0.250 0.487
S3 0.212 0.750 0.709
```



[6]
A geometry-optimized CrSbS structure. Source: Alexandria via LeMat-Bulk, functional PBE.

D(E_F): 1.6 states/eV/f.u.
E: -6.207 eV/atom
volume: 125 Å³/cell

The structure in CIF format:
```
data_CrSbS
_symmetry_space_group_name_H-M 'P 1 2/m 1'
_symmetry_Int_Tables_number 10
_cell_length_a 5.724
_cell_length_b 3.472
_cell_length_c 6.444
_cell_angle_alpha 90.00
_cell_angle_beta 102.19
_cell_angle_gamma 90.00
loop_
_symmetry_equiv_pos_as_xyz
'x,y,z'
'-x,-y,-z'
'-x,y,-z'
'x,-y,z'
loop_
_atom_site_label
_atom_site_fract_x
_atom_site_fract_y
_atom_site_fract_z
Cr1 0.000 0.000 0.000
Cr2 0.500 0.500 0.500
Sb1 0.214 0.000 0.658
S1 0.244 0.500 0.167
```



[7]
A geometry-optimized CrSbS3 structure. Source: Alexandria via LeMat-Bulk, functional PBE.

D(E_F): 4.1 states/eV/f.u.
E: -5.170 eV/atom
volume: 97 Å³/cell

The structure in CIF format:
```
data_CrSbS3
_symmetry_space_group_name_H-M 'P m -3 m'
_symmetry_Int_Tables_number 221
_symmetry_space_group_name_Hall '-P 4 2 3'
_cell_length_a 4.596
_cell_length_b 4.596
_cell_length_c 4.596
_cell_angle_alpha 90.00
_cell_angle_beta 90.00
_cell_angle_gamma 90.00
loop_
_atom_site_label
_atom_site_fract_x
_atom_site_fract_y
_atom_site_fract_z
Cr1 0.000 0.000 0.000
Sb1 0.500 0.500 0.500
S1 0.000 0.000 0.500
```



[8]
A geometry-optimized Cr5Sb3S12 structure. Source: Alexandria via LeMat-Bulk, functional PBE.

D(E_F): 8.8 states/eV/f.u.
E: -5.853 eV/atom
volume: 3330 Å³/cell

The structure in CIF format:
```
data_Cr5Sb3S12
_symmetry_space_group_name_H-M 'I a -3 d'
_symmetry_Int_Tables_number 230
_symmetry_space_group_name_Hall '-I 4bd 2c 3'
_cell_length_a 14.933
_cell_length_b 14.933
_cell_length_c 14.933
_cell_angle_alpha 90.00
_cell_angle_beta 90.00
_cell_angle_gamma 90.00
loop_
_atom_site_label
_atom_site_fract_x
_atom_site_fract_y
_atom_site_fract_z
Cr1 0.000 0.000 0.000
Cr2 0.000 0.250 0.375
Sb1 0.000 0.250 0.125
S1 0.027 0.053 0.651
```



[9]
A geometry-optimized ScCrSb2S structure. Source: Alexandria via LeMat-Bulk, functional PBE.

D(E_F): 3.7 states/eV/f.u.
E: -5.394 eV/atom
volume: 132 Å³/cell

The structure in CIF format:
```
data_ScCrSb2S
_symmetry_space_group_name_H-M 'P 4/m m m'
_symmetry_Int_Tables_number 123
_symmetry_space_group_name_Hall '-P 4 2'
_cell_length_a 5.327
_cell_length_b 5.327
_cell_length_c 4.652
_cell_angle_alpha 90.00
_cell_angle_beta 90.00
_cell_angle_gamma 90.00
loop_
_atom_site_label
_atom_site_fract_x
_atom_site_fract_y
_atom_site_fract_z
Sc1 0.000 0.000 0.000
Cr1 0.500 0.500 0.000
Sb1 0.000 0.500 0.500
S1 0.000 0.000 0.500
```



[10]
A geometry-optimized CrTc2SbS structure. Source: Alexandria via LeMat-Bulk, functional PBE.

D(E_F): 5.8 states/eV/f.u.
E: -7.349 eV/atom
volume: 84 Å³/cell

The structure in CIF format:
```
data_CrTc2SbS
_symmetry_space_group_name_H-M 'P 4/m m m'
_symmetry_Int_Tables_number 123
_symmetry_space_group_name_Hall '-P 4 2'
_cell_length_a 4.449
_cell_length_b 4.449
_cell_length_c 4.239
_cell_angle_alpha 90.00
_cell_angle_beta 90.00
_cell_angle_gamma 90.00
loop_
_atom_site_label
_atom_site_fract_x
_atom_site_fract_y
_atom_site_fract_z
Cr1 0.000 0.000 0.000
Tc1 0.000 0.500 0.500
Sb1 0.500 0.500 0.000
S1 0.000 0.000 0.500
```



[11]
A geometry-optimized Cr2SbTeS structure. Source: Alexandria via LeMat-Bulk, functional PBE.

D(E_F): 4.2 states/eV/f.u.
E: -5.235 eV/atom
volume: 137 Å³/cell

The structure in CIF format:
```
data_Cr2SbTeS
_symmetry_space_group_name_H-M 'P 4/m m m'
_symmetry_Int_Tables_number 123
_symmetry_space_group_name_Hall '-P 4 2'
_cell_length_a 5.162
_cell_length_b 5.162
_cell_length_c 5.139
_cell_angle_alpha 90.00
_cell_angle_beta 90.00
_cell_angle_gamma 90.00
loop_
_atom_site_label
_atom_site_fract_x
_atom_site_fract_y
_atom_site_fract_z
Cr1 0.000 0.500 0.000
Sb1 0.000 0.000 0.500
Te1 0.500 0.500 0.000
S1 0.500 0.500 0.500
```



[12]
A geometry-optimized Tl2CrSb2S6 structure. Source: Alexandria via LeMat-Bulk, functional PBE.

D(E_F): 4.4 states/eV/f.u.
E: -4.695 eV/atom
volume: 563 Å³/cell

The structure in CIF format:
```
data_Tl2CrSb2S6
_symmetry_space_group_name_H-M 'C 1 2/m 1'
_symmetry_Int_Tables_number 12
_cell_length_a 6.649
_cell_length_b 11.328
_cell_length_c 7.827
_cell_angle_alpha 90.00
_cell_angle_beta 107.26
_cell_angle_gamma 90.00
loop_
_symmetry_equiv_pos_as_xyz
'x,y,z'
'-x,-y,-z'
'-x,y,-z'
'x,-y,z'
'x+1/2,y+1/2,z'
'-x+1/2,-y+1/2,-z'
'-x+1/2,y+1/2,-z'
'x+1/2,-y+1/2,z'
loop_
_atom_site_label
_atom_site_fract_x
_atom_site_fract_y
_atom_site_fract_z
Tl1 0.000 0.173 0.000
Cr1 0.000 0.000 0.500
Sb1 0.000 0.332 0.500
S1 0.216 0.151 0.686
S2 0.227 0.000 0.309
```



[13]
A geometry-optimized VCrSb2S structure. Source: Alexandria via LeMat-Bulk, functional PBE.

D(E_F): 5.3 states/eV/f.u.
E: -5.359 eV/atom
volume: 117 Å³/cell

The structure in CIF format:
```
data_VCrSb2S
_symmetry_space_group_name_H-M 'P 4/m m m'
_symmetry_Int_Tables_number 123
_symmetry_space_group_name_Hall '-P 4 2'
_cell_length_a 5.226
_cell_length_b 5.226
_cell_length_c 4.298
_cell_angle_alpha 90.00
_cell_angle_beta 90.00
_cell_angle_gamma 90.00
loop_
_atom_site_label
_atom_site_fract_x
_atom_site_fract_y
_atom_site_fract_z
V1 0.000 0.000 0.000
Cr1 0.500 0.500 0.000
Sb1 0.000 0.500 0.500
S1 0.500 0.500 0.500
```



[14]
A geometry-optimized ScCr2S4 structure. Source: Alexandria via LeMat-Bulk, functional PBE.

D(E_F): 3.2 states/eV/f.u.
E: -7.033 eV/atom
volume: 517 Å³/cell

The structure in CIF format:
```
data_ScCr2S4
_symmetry_space_group_name_H-M 'I m m a'
_symmetry_Int_Tables_number 74
_symmetry_space_group_name_Hall '-I 2b 2'
_cell_length_a 7.295
_cell_length_b 8.182
_cell_length_c 8.666
_cell_angle_alpha 90.00
_cell_angle_beta 90.00
_cell_angle_gamma 90.00
loop_
_atom_site_label
_atom_site_fract_x
_atom_site_fract_y
_atom_site_fract_z
Sc1 0.000 0.250 0.221
Cr1 0.000 0.000 0.500
Cr2 0.250 0.250 0.750
S1 0.000 0.059 0.767
S2 0.219 0.250 0.461
```



[15]
A geometry-optimized ScCrS3 structure. Source: Alexandria via LeMat-Bulk, functional PBE.

E: -6.912 eV/atom
volume: 572 Å³/cell

The structure in CIF format:
```
data_ScCrS3
_symmetry_space_group_name_H-M 'R -3'
_symmetry_Int_Tables_number 148
_symmetry_space_group_name_Hall '-R 3'
_cell_length_a 6.2539
_cell_length_b 6.2539
_cell_length_c 16.8766
_cell_angle_alpha 90.00
_cell_angle_beta 90.00
_cell_angle_gamma 120.00
loop_
_atom_site_label
_atom_site_fract_x
_atom_site_fract_y
_atom_site_fract_z
Sc1 0.0000 0.0000 0.1526
Cr1 0.0000 0.0000 0.3399
S1 0.0141 0.6504 0.9215
```



[16]
A geometry-optimized ScCr3S structure. Source: Alexandria via LeMat-Bulk, functional PBE.

D(E_F): 7.8 states/eV/f.u.
E: -7.717 eV/atom
volume: 75 Å³/cell

The structure in CIF format:
```
data_ScCr3S
_symmetry_space_group_name_H-M 'P m -3 m'
_symmetry_Int_Tables_number 221
_symmetry_space_group_name_Hall '-P 4 2 3'
_cell_length_a 4.211
_cell_length_b 4.211
_cell_length_c 4.211
_cell_angle_alpha 90.00
_cell_angle_beta 90.00
_cell_angle_gamma 90.00
loop_
_atom_site_label
_atom_site_fract_x
_atom_site_fract_y
_atom_site_fract_z
Sc1 0.000 0.000 0.000
Cr1 0.000 0.500 0.500
S1 0.500 0.500 0.500
```



[17]
A geometry-optimized ScCrS3 structure. Source: Alexandria via LeMat-Bulk, functional PBE.

D(E_F): 1.9 states/eV/f.u.
E: -6.212 eV/atom
volume: 94 Å³/cell

The structure in CIF format:
```
data_ScCrS3
_symmetry_space_group_name_H-M 'P m -3 m'
_symmetry_Int_Tables_number 221
_symmetry_space_group_name_Hall '-P 4 2 3'
_cell_length_a 4.546
_cell_length_b 4.546
_cell_length_c 4.546
_cell_angle_alpha 90.00
_cell_angle_beta 90.00
_cell_angle_gamma 90.00
loop_
_atom_site_label
_atom_site_fract_x
_atom_site_fract_y
_atom_site_fract_z
Sc1 0.000 0.000 0.000
Cr1 0.500 0.500 0.500
S1 0.000 0.500 0.500
```



[18]
A geometry-optimized ScCr3S structure. Source: Alexandria via LeMat-Bulk, functional PBE.

D(E_F): 7.4 states/eV/f.u.
E: -5.687 eV/atom
volume: 84 Å³/cell

The structure in CIF format:
```
data_ScCr3S
_symmetry_space_group_name_H-M 'P m -3 m'
_symmetry_Int_Tables_number 221
_symmetry_space_group_name_Hall '-P 4 2 3'
_cell_length_a 4.388
_cell_length_b 4.388
_cell_length_c 4.388
_cell_angle_alpha 90.00
_cell_angle_beta 90.00
_cell_angle_gamma 90.00
loop_
_atom_site_label
_atom_site_fract_x
_atom_site_fract_y
_atom_site_fract_z
Sc1 0.000 0.000 0.000
Cr1 0.000 0.000 0.500
S1 0.500 0.500 0.500
```



[19]
A geometry-optimized ScCrS3 structure. Source: Alexandria via LeMat-Bulk, functional PBE.

D(E_F): 5.1 states/eV/f.u.
E: -5.901 eV/atom
volume: 116 Å³/cell

The structure in CIF format:
```
data_ScCrS3
_symmetry_space_group_name_H-M 'P m -3 m'
_symmetry_Int_Tables_number 221
_symmetry_space_group_name_Hall '-P 4 2 3'
_cell_length_a 4.871
_cell_length_b 4.871
_cell_length_c 4.871
_cell_angle_alpha 90.00
_cell_angle_beta 90.00
_cell_angle_gamma 90.00
loop_
_atom_site_label
_atom_site_fract_x
_atom_site_fract_y
_atom_site_fract_z
Sc1 0.000 0.000 0.000
Cr1 0.500 0.500 0.500
S1 0.000 0.000 0.500
```